First-principles (PBE) data for an optimized crystal structure of ZnCoSb4, as listed in Alexandria via LeMat-Bulk.

- space group = No. 216
- formation energy (no corrections) (eV per atom) = 0.81
- Fermi-level density of states (states/eV/cell) = 5.25
- total DFT energy (no corrections) (eV/atom) = -3.3387

Lattice parameters (Å, degrees): 6.1495 6.1495 6.1495 60.00 60.00 60.00
Last column: magnetic moment on the atom in μB.
Positions (direct):
Sb 0.3758 0.8726 0.3758  0.03
Co 0.0000 0.0000 0.0000  2.13
Zn 0.7500 0.7500 0.7500  0.00
Sb 0.8726 0.3758 0.3758  0.03
Sb 0.3758 0.3758 0.8726  0.03
Sb 0.3758 0.3758 0.3758  0.03